## i
This record from the Alexandria database describes an optimized crystal structure of ZnHgBr. The functional is PBE.

It has space group I4mm (No. 107), with a = 3.481 Å, b = 3.481 Å, c = 12.263 Å, α = 90.00°, β = 90.00° and γ = 90.00°. Symmetry generates all atoms from Zn at (0.000, 0.000, 0.000), Hg at (0.000, 0.000, 0.356) and Br at (0.000, 0.000, 0.626).



## ii
This record from the Alexandria database describes an optimized crystal structure of ZnHgBr. The functional is PBE.

It has space group P1 (No. 1), with a = 3.713 Å, b = 4.307 Å, c = 5.857 Å, α = 92.64°, β = 90.33° and γ = 114.80°. Symmetry generates all atoms from Zn at (0.000, 0.000, 0.000), Hg at (0.316, 0.610, 0.227) and Br at (0.530, 0.068, 0.697).



Most stable structure: ii



## i
This record from the Alexandria database describes an optimized crystal structure of ZnHgBr. The functional is PBE.

It has space group P2_1 (No. 4), with a = 3.906 Å, b = 6.034 Å, c = 6.814 Å, α = 90.00°, β = 90.03° and γ = 90.00°. Symmetry generates all atoms from Zn at (0.248, 0.000, 0.233), Hg at (0.252, 0.255, 0.567) and Br at (0.250, 0.784, 0.903).



## ii
This record from the Alexandria database describes an optimized crystal structure of ZnHgBr. The functional is PBE.

It has space group P1 (No. 1), with a = 3.822 Å, b = 6.767 Å, c = 6.915 Å, α = 105.97°, β = 91.72° and γ = 90.05°. Symmetry generates all atoms from Zn at (0.000, 0.000, 0.000), Zn at (0.488, 0.453, 0.662), Hg at (0.017, 0.364, 0.905), Hg at (0.630, 0.309, 0.280), Br at (0.035, 0.794, 0.230) and Br at (0.486, 0.863, 0.743).



Most stable structure: i



## i
This record from the Alexandria database describes an optimized crystal structure of ZnHgBr. The functional is PBE.

It has space group P1 (No. 1), with a = 3.785 Å, b = 6.828 Å, c = 7.776 Å, α = 78.10°, β = 86.15° and γ = 84.63°. Symmetry generates all atoms from Zn at (0.000, 0.000, 0.000), Zn at (0.483, 0.697, 0.470), Hg at (0.230, 0.866, 0.724), Hg at (0.589, 0.283, 0.630), Br at (0.001, 0.656, 0.249) and Br at (0.466, 0.174, 0.122).



## ii
This record from the Alexandria database describes an optimized crystal structure of ZnHgBr. The functional is PBE.

It has space group Amm2 (No. 38), with a = 15.207 Å, b = 3.652 Å, c = 6.320 Å, α = 90.00°, β = 90.00° and γ = 90.00°. Symmetry generates all atoms from Zn at (0.000, 0.000, 0.000), Zn at (0.500, 0.000, 0.224), Hg at (0.357, 0.000, 0.891) and Br at (0.109, 0.000, 0.334).



Most stable structure: i